Sc2FeB2Ru4Rh at its PBEsol-relaxed geometry, computed with SCAN.

a = 9.1943 Å, b = 9.1943 Å, c = 2.9863 Å
α = 90.00°, β = 90.00°, γ = 90.00°
Closest atoms and distances in Å follow each position.
Space group P4/mbm (No. 127)
Unique sites:
Sc 0.1761 0.3239 0.0000 x4  3 B 2.56-2.82, 2 Rh 2.73, 4 Ru 2.79
Fe 0.0000 0.0000 0.0000 x2  8 Ru 2.54
B 0.1269 0.6269 0.0000 x4  4 Ru 2.16, 2 Rh 2.22
Ru 0.0698 0.7873 0.5000 x8  2 B 2.16
Rh 0.0000 0.5000 0.5000 x2  4 B 2.22

Output
Formation energy, kJ per mole of atoms: -60